(1)
## AcLa5Rh3 (PBE)

Data for a relaxed structure of AcLa5Rh3.

For the total moment, the calculation gives 0.00 μB per atom. For the formation energy from the elements, the calculation gives -553 meV/atom. Its crystal system is monoclinic.

The space group is P2/m (No. 10) and the conventional cell measures 6.872, 4.303 and 20.602 Å, with angles of 90.00, 91.46 and 90.00 degrees. The inequivalent atoms are Ac at (0.202, 0.000, 0.266), La at (0.174, 0.000, 0.929), La at (0.219, 0.000, 0.603), La at (0.284, 0.500, 0.438), La at (0.299, 0.500, 0.768), La at (0.326, 0.500, 0.094), Rh at (0.000, 0.500, 0.000), Rh at (0.014, 0.500, 0.663), Rh at (0.486, 0.000, 0.836) and Rh at (0.500, 0.000, 0.500).

---

(2)
## CuTcSb2 (PBE)

Data for a relaxed structure of CuTcSb2.

For the total moment, the calculation gives 0.00 μB per atom. Its crystal system is cubic. The formation energy (no corrections) is 0.35 eV per atom. As for the distance to the lowest polymorph of the same formula: 245 meV/atom.

The space group is Fm-3m (No. 225) and the conventional cell measures 6.645, 6.645 and 6.645 Å, with angles of 90.00, 90.00 and 90.00 degrees. The inequivalent atoms are Cu at (0.000, 0.000, 0.000), Tc at (0.000, 0.000, 0.500) and Sb at (0.250, 0.250, 0.250).

---

(3)
## LiTl12Hg7 (PBE)

Data for a relaxed structure of LiTl12Hg7.

For the total moment, the calculation gives 0.00 μB per atom. For the formation energy from the elements, the calculation gives 14 meV/atom. Its crystal system is trigonal. As for the distance to the lowest polymorph of the same formula: 18 meV/atom.

The space group is R-3 (No. 148, hexagonal axes) and the conventional cell measures 12.9031, 12.9031 and 12.4809 Å, with angles of 90.00, 90.00 and 120.00 degrees. The inequivalent atoms are Li at (0.0000, 0.0000, 0.0000), Tl at (0.0348, 0.5821, 0.7026), Tl at (0.0535, 0.2351, 0.3965), Hg at (0.0000, 0.0000, 0.5000) and Hg at (0.0770, 0.9099, 0.8115).

---

(4)
## Sm6GaCu5 (PBE)

Data for a relaxed structure of Sm6GaCu5.

For the total moment, the calculation gives 0.00 μB per atom. For the formation energy from the elements, the calculation gives -241 meV/atom. Its crystal system is monoclinic.

The space group is P2/m (No. 10) and the conventional cell measures 5.029, 7.172 and 7.951 Å, with angles of 90.00, 108.29 and 90.00 degrees. The inequivalent atoms are Sm at (0.000, 0.243, 0.000), Sm at (0.331, 0.249, 0.662), Ga at (0.500, 0.500, 0.000), Cu at (0.160, 0.500, 0.319), Cu at (0.167, 0.000, 0.333) and Cu at (0.500, 0.000, 0.000).

---

(5)
## LaTaMo2 (PBE)

Data for a relaxed structure of LaTaMo2.

For the total moment, the calculation gives 0.00 μB per atom. For the formation energy from the elements, the calculation gives 609 meV/atom. Its crystal system is orthorhombic. As for the distance to the lowest polymorph of the same formula: 320 meV/atom.

The space group is Pmmm (No. 47) and the conventional cell measures 3.286, 4.546 and 5.140 Å, with angles of 90.00, 90.00 and 90.00 degrees. The inequivalent atoms are La at (0.000, 0.000, 0.000), Ta at (0.500, 0.000, 0.500), Mo at (0.000, 0.500, 0.500) and Mo at (0.500, 0.500, 0.000).

---

(6)
## HfIn2Ir (PBE)

Data for a relaxed structure of HfIn2Ir.

For the total moment, the calculation gives 0.00 μB per atom. For the formation energy from the elements, the calculation gives 100 meV/atom. Its crystal system is tetragonal.

The space group is I-42d (No. 122) and the conventional cell measures 7.870, 7.870 and 5.585 Å, with angles of 90.00, 90.00 and 90.00 degrees. The inequivalent atoms are Hf at (0.000, 0.000, 0.000), In at (0.214, 0.250, 0.625) and Ir at (0.000, 0.000, 0.500).